Here is crystalline Nb2CdPd at its relaxed geometry from Alexandria via LeMat-Bulk. Energies are from PBE.

Values from the calculation:
Magnetic moment: 0.000 μB per atom
E_form: -0.20 eV per atom
Final energy: -6.76 eV/atom

```
data_Nb2CdPd
_cell_length_a 4.4541
_cell_length_b 3.4359
_cell_length_c 9.4004
_cell_angle_alpha 90.00
_cell_angle_beta 90.00
_cell_angle_gamma 90.00
_symmetry_space_group_name_H-M 'P m m a'
_symmetry_Int_Tables_number 51
loop_
_symmetry_equiv_pos_as_xyz
'x,y,z'
'-x,-y,-z'
'-x+1/2,-y,z'
'x+1/2,y,-z'
'x+1/2,-y,-z'
'-x+1/2,y,z'
'-x,y,-z'
'x,-y,z'
loop_
_atom_site_label
_atom_site_fract_x
_atom_site_fract_y
_atom_site_fract_z
_atom_site_occupancy
Nb1 0.2500 0.0000 0.1189 1
Nb2 0.2500 0.5000 0.8761 1
Cd1 0.2500 0.5000 0.3868 1
Pd1 0.2500 0.0000 0.6407 1
```


Here is crystalline NbCd2Pd8 at its relaxed geometry from Alexandria via LeMat-Bulk. Energies are from PBE.

Values from the calculation:
Magnetic moment: 0.000 μB per atom
E_form: -0.33 eV per atom
Final energy: -5.19 eV/atom

```
data_NbCd2Pd8
_cell_length_a 14.4778
_cell_length_b 4.0431
_cell_length_c 6.3382
_cell_angle_alpha 90.00
_cell_angle_beta 105.49
_cell_angle_gamma 90.00
_symmetry_space_group_name_H-M 'C 1 2/m 1'
_symmetry_Int_Tables_number 12
loop_
_symmetry_equiv_pos_as_xyz
'x,y,z'
'-x,-y,-z'
'-x,y,-z'
'x,-y,z'
'x+1/2,y+1/2,z'
'-x+1/2,-y+1/2,-z'
'-x+1/2,y+1/2,-z'
'x+1/2,-y+1/2,z'
loop_
_atom_site_label
_atom_site_fract_x
_atom_site_fract_y
_atom_site_fract_z
_atom_site_occupancy
Nb1 0.0000 0.0000 0.0000 1
Cd1 0.2227 0.5000 0.6434 1
Pd1 0.0418 0.5000 0.7288 1
Pd2 0.0884 0.0000 0.4446 1
Pd3 0.1320 0.5000 0.1710 1
Pd4 0.1779 0.0000 0.9135 1
```


Here is crystalline NbCdPd at its relaxed geometry from Alexandria via LeMat-Bulk. Energies are from PBE.

Values from the calculation:
Magnetic moment: 0.000 μB per atom
E_form: 0.06 eV per atom
Final energy: -5.33 eV/atom

```
data_NbCdPd
_cell_length_a 5.1964
_cell_length_b 7.7706
_cell_length_c 11.2905
_cell_angle_alpha 90.00
_cell_angle_beta 90.00
_cell_angle_gamma 90.00
_symmetry_space_group_name_H-M 'F m m m'
_symmetry_Int_Tables_number 69
_symmetry_space_group_name_Hall '-F 2 2'
loop_
_atom_site_label
_atom_site_fract_x
_atom_site_fract_y
_atom_site_fract_z
_atom_site_occupancy
Nb1 0.2500 0.2500 0.2500 1
Cd1 0.0000 0.1732 0.0000 1
Pd1 0.0000 0.0000 0.3810 1
```


Here is crystalline NbCdPdRu at its relaxed geometry from Alexandria via LeMat-Bulk. Energies are from PBE.

Values from the calculation:
Magnetic moment: 0.000 μB per atom
E_form: -0.07 eV per atom
Final energy: -6.43 eV/atom

```
data_NbCdPdRu
_cell_length_a 6.4391
_cell_length_b 6.4391
_cell_length_c 6.4391
_cell_angle_alpha 90.00
_cell_angle_beta 90.00
_cell_angle_gamma 90.00
_symmetry_space_group_name_H-M 'F -4 3 m'
_symmetry_Int_Tables_number 216
_symmetry_space_group_name_Hall 'F -4 2 3'
loop_
_atom_site_label
_atom_site_fract_x
_atom_site_fract_y
_atom_site_fract_z
_atom_site_occupancy
Nb1 0.0000 0.0000 0.0000 1
Cd1 0.0000 0.0000 0.5000 1
Pd1 0.2500 0.2500 0.2500 1
Ru1 0.2500 0.2500 0.7500 1
```


Here is crystalline NbCdSb2Pd at its relaxed geometry from Alexandria via LeMat-Bulk. Energies are from PBE.

Values from the calculation:
Magnetic moment: 0.554 μB per atom
ΔE_f (raw): 3.54 eV per formula unit
Final energy: -4.18 eV/atom

```
data_NbCdSb2Pd
_cell_length_a 5.1711
_cell_length_b 5.1711
_cell_length_c 4.9981
_cell_angle_alpha 90.00
_cell_angle_beta 90.00
_cell_angle_gamma 90.00
_symmetry_space_group_name_H-M 'P 4/m m m'
_symmetry_Int_Tables_number 123
_symmetry_space_group_name_Hall '-P 4 2'
loop_
_atom_site_label
_atom_site_fract_x
_atom_site_fract_y
_atom_site_fract_z
_atom_site_occupancy
Nb1 0.0000 0.0000 0.0000 1
Cd1 0.5000 0.5000 0.0000 1
Sb1 0.0000 0.5000 0.5000 1
Pd1 0.5000 0.5000 0.5000 1
```


Here is crystalline ScNbCdPd2 at its relaxed geometry from Alexandria via LeMat-Bulk. Energies are from PBE.

Values from the calculation:
Magnetic moment: 0.000 μB per atom
E_form: 0.67 eV per atom
Final energy: -4.87 eV/atom

```
data_ScNbCdPd2
_cell_length_a 4.8847
_cell_length_b 4.8847
_cell_length_c 5.0380
_cell_angle_alpha 90.00
_cell_angle_beta 90.00
_cell_angle_gamma 90.00
_symmetry_space_group_name_H-M 'P 4/m m m'
_symmetry_Int_Tables_number 123
_symmetry_space_group_name_Hall '-P 4 2'
loop_
_atom_site_label
_atom_site_fract_x
_atom_site_fract_y
_atom_site_fract_z
_atom_site_occupancy
Sc1 0.0000 0.0000 0.0000 1
Nb1 0.0000 0.0000 0.5000 1
Cd1 0.5000 0.5000 0.0000 1
Pd1 0.0000 0.5000 0.5000 1
```